Compound: KCaCu3
Source: Alexandria
Functional: GGA-PBEsol
Structure: relaxed

Computed properties:
DFT formation energy   1.19 eV per atom
Size of the total moment   0.000 μB/cell
Crystal system   cubic

a = 5.0780 Å, b = 5.0780 Å, c = 5.0780 Å
α = 90.00°, β = 90.00°, γ = 90.00°
Sites, in units of the cell vectors:
Cu: 0.5000 0.0000 0.0000
K: 0.0000 0.0000 0.0000
Cu: 0.0000 0.5000 0.0000
Ca: 0.5000 0.5000 0.5000
Cu: 0.0000 0.0000 0.5000

---

Compound: KCaCuSe2
Source: Alexandria
Functional: GGA-PBEsol
Structure: relaxed

Computed properties:
Size of the total moment   0.001 μB/cell
Formation energy without anion corrections   -0.20 eV/atom
Crystal system   tetragonal

a = 5.2720 Å, b = 5.4305 Å, c = 5.4305 Å
α = 90.00°, β = 90.00°, γ = 90.00°
Sites, in units of the cell vectors:
Se: 0.0000 0.0000 0.5000
K: 0.5000 0.5000 0.5000
Cu: 0.5000 0.0000 0.0000
Ca: 0.0000 0.0000 0.0000
Se: 0.0000 0.5000 0.0000

---

Compound: KCaCuTc2
Source: Alexandria
Functional: GGA-PBEsol
Structure: relaxed

Computed properties:
DFT formation energy   1.41 eV per atom
Size of the total moment   3.856 μB/cell
Crystal system   tetragonal

a = 4.6977 Å, b = 4.6977 Å, c = 5.2457 Å
α = 90.00°, β = 90.00°, γ = 90.00°
Site moments in Bohr magnetons follow the coordinates.
Sites, in units of the cell vectors:
K: 0.5000 0.5000 0.5000  0.00
Cu: 0.0000 0.0000 0.0000  0.20
Tc: 0.5000 0.0000 0.0000  1.75
Tc: 0.0000 0.5000 0.0000  1.75
Ca: 0.0000 0.0000 0.5000  -0.04

---

Compound: CaLaCu
Source: Alexandria
Functional: GGA-PBEsol
Structure: relaxed

Computed properties:
ΔE to the lowest computed polymorph   112 meV per atom
DFT formation energy   0.10 eV per atom
Size of the total moment   0.001 μB/cell
Crystal system   cubic

a = 4.9605 Å, b = 4.9605 Å, c = 4.9605 Å
α = 60.00°, β = 60.00°, γ = 60.00°
Sites, in units of the cell vectors:
Cu: 0.2500 0.2500 0.2500
Ca: 0.5000 0.5000 0.5000
La: 0.0000 0.0000 0.0000

---

Compound: Ca2LaCu
Source: Alexandria
Functional: GGA-PBEsol
Structure: relaxed

Computed properties:
ΔE to the lowest computed polymorph   213 meV per atom
DFT formation energy   0.21 eV per atom
Size of the total moment   0.000 μB/cell
Crystal system   tetragonal

a = 4.5914 Å, b = 4.5914 Å, c = 5.4533 Å
α = 90.00°, β = 90.00°, γ = 90.00°
Sites, in units of the cell vectors:
La: 0.0000 0.0000 0.5000
Ca: 0.5000 0.0000 0.0000
Ca: 0.0000 0.5000 0.0000
Cu: 0.5000 0.5000 0.5000

---

Compound: CaLaCu
Source: Alexandria
Functional: GGA-PBEsol
Structure: relaxed

Computed properties:
ΔE to the lowest computed polymorph   0 meV per atom
DFT formation energy   -0.01 eV per atom
Size of the total moment   0.000 μB/cell
Crystal system   tetragonal

a = 3.5386 Å, b = 3.5386 Å, c = 7.0450 Å
α = 104.55°, β = 104.55°, γ = 90.00°
Sites, in units of the cell vectors:
Cu: 0.6685 0.6685 0.3370
Ca: 0.0343 0.0343 0.0687
La: 0.2972 0.2972 0.5943

---

Compound: CaLaCu2
Source: Alexandria
Functional: GGA-PBEsol
Structure: relaxed

Computed properties:
DFT formation energy   -0.05 eV per atom
Size of the total moment   0.000 μB/cell
Crystal system   tetragonal

a = 3.4486 Å, b = 5.0440 Å, c = 5.0440 Å
α = 90.00°, β = 90.00°, γ = 90.00°
Sites, in units of the cell vectors:
Ca: 0.5000 0.0000 0.0000
La: 0.5000 0.5000 0.5000
Cu: 0.0000 0.5000 0.0000
Cu: 0.0000 0.0000 0.5000

---

Compound: CaLaCu2
Source: Alexandria
Functional: GGA-PBEsol
Structure: relaxed

Computed properties:
DFT formation energy   -0.10 eV per atom
Size of the total moment   0.000 μB/cell
Crystal system   orthorhombic

a = 3.9368 Å, b = 4.4311 Å, c = 5.6627 Å
α = 90.00°, β = 110.34°, γ = 90.00°
Sites, in units of the cell vectors:
La: 0.1108 0.0000 0.2217
Cu: 0.6858 0.5000 0.3715
Cu: 0.8146 0.0000 0.6293
Ca: 0.3906 0.5000 0.7812

---

What did we get for total DFT energy (no corrections)? Answer: -2.06, -3.26, -4.61, -3.83, -3.27, -3.95, -4.09, -4.13 eV per atom, in the order shown.